1.
A relaxed BaY2ZnAg crystal, computed with PBE-GGA.

Lattice parameters (Å, degrees): 5.577 5.577 5.169 90.00 90.00 90.00
Space group P4/mmm (No. 123)
Inequivalent atoms, fractional coordinates:
Ba  0.000  0.000  0.000 x1
Y  0.000  0.500  0.500 x2
Zn  0.500  0.500  0.500 x1
Ag  0.500  0.500  0.000 x1

- magnetization (Bohr magnetons per cell) = 0.0
- energy relative to the elements (eV per atom) = 0.185
- electronic total energy (eV/cell) = -18.052

=====

2.
A relaxed BaZn2Ag crystal, computed with PBE-GGA.

Lattice parameters (Å, degrees): 4.732 4.732 4.920 90.00 90.00 90.00
Space group P4/mmm (No. 123)
Inequivalent atoms, fractional coordinates:
Ba  0.000  0.000  0.000 x1
Zn  0.000  0.500  0.500 x2
Ag  0.500  0.500  0.000 x1

- magnetization (Bohr magnetons per cell) = 0.0
- energy relative to the elements (eV per atom) = 0.066
- electronic total energy (eV/cell) = -7.056

=====

3.
A relaxed BaZn2Ag10 crystal, computed with PBE-GGA.

Lattice parameters (Å, degrees): 5.476 13.303 14.150 90.00 90.00 90.00
Space group Fmmm (No. 69)
Inequivalent atoms, fractional coordinates:
Ba  0.000  0.000  0.000 x4
Zn  0.250  0.000  0.250 x8
Ag  0.000  0.111  0.380 x16
Ag  0.000  0.175  0.178 x16
Ag  0.250  0.250  0.000 x8

- magnetization (Bohr magnetons per cell) = 0.0
- energy relative to the elements (eV per atom) = -0.075
- electronic total energy (eV/cell) = -135.820

=====

4.
A relaxed Ba2Zn3Ag5 crystal, computed with PBE-GGA.

Lattice parameters (Å, degrees): 10.491 13.604 6.858 90.00 90.00 90.00
Space group Ibam (No. 72)
Inequivalent atoms, fractional coordinates:
Ba  0.247  0.127  0.000 x8
Zn  0.000  0.000  0.250 x4
Zn  0.123  0.379  0.000 x8
Ag  0.000  0.260  0.250 x8
Ag  0.000  0.500  0.250 x4
Ag  0.123  0.120  0.500 x8

- ΔE to the lowest computed polymorph (eV/atom) = 0.000
- magnetization (Bohr magnetons per cell) = 0.0
- energy relative to the elements (eV per atom) = -0.191
- electronic total energy (eV/cell) = -95.336

=====

5.
A relaxed Ba3Zn2Ag9 crystal, computed with PBE-GGA.

Lattice parameters (Å, degrees): 4.834 10.485 13.680 90.00 90.00 90.00
Space group Immm (No. 71)
Inequivalent atoms, fractional coordinates:
Ba  0.000  0.000  0.000 x2
Ba  0.000  0.000  0.311 x4
Zn  0.000  0.230  0.500 x4
Ag  0.000  0.279  0.116 x8
Ag  0.000  0.353  0.326 x8
Ag  0.000  0.500  0.000 x2

- magnetization (Bohr magnetons per cell) = 0.0
- energy relative to the elements (eV per atom) = -0.177
- electronic total energy (eV/cell) = -72.918

=====

6.
A relaxed Ba4ZnAg2 crystal, computed with PBE-GGA.

Lattice parameters (Å, degrees): 8.210 8.210 8.252 90.00 90.00 90.00
Space group I4/mmm (No. 139)
Inequivalent atoms, fractional coordinates:
Ba  0.250  0.250  0.250 x8
Zn  0.000  0.000  0.000 x2
Ag  0.000  0.500  0.000 x4

- ΔE to the lowest computed polymorph (eV/atom) = 0.000
- magnetization (Bohr magnetons per cell) = 0.0
- energy relative to the elements (eV per atom) = -0.148
- electronic total energy (eV/cell) = -31.404

=====

7.
A relaxed Ba6ZnAg5 crystal, computed with PBE-GGA.

Lattice parameters (Å, degrees): 5.824 8.246 9.204 90.00 108.38 90.00
Space group P2/m (No. 10)
Inequivalent atoms, fractional coordinates:
Ba  0.000  0.248  0.000 x2
Ba  0.335  0.248  0.668 x4
Zn  0.500  0.000  0.000 x1
Ag  0.164  0.000  0.330 x2
Ag  0.167  0.500  0.336 x2
Ag  0.500  0.500  0.000 x1

- magnetization (Bohr magnetons per cell) = 0.0
- energy relative to the elements (eV per atom) = -0.217
- electronic total energy (eV/cell) = -29.669

=====

8.
A relaxed Ba3ZnAg crystal, computed with PBE-GGA.

Lattice parameters (Å, degrees): 19.337 4.543 9.976 90.00 97.66 90.00
Space group Cm (No. 8)
Inequivalent atoms, fractional coordinates:
Ba  0.000  0.000  0.000 x2
Ba  0.040  0.500  0.617 x2
Ba  0.161  0.000  0.358 x2
Ba  0.220  0.500  0.978 x2
Ba  0.340  0.000  0.717 x2
Ba  0.381  0.500  0.334 x2
Zn  0.166  0.000  0.714 x2
Zn  0.214  0.500  0.622 x2
Ag  0.012  0.500  0.260 x2
Ag  0.369  0.000  0.074 x2

- ΔE to the lowest computed polymorph (eV/atom) = 0.000
- magnetization (Bohr magnetons per cell) = 0.0
- energy relative to the elements (eV per atom) = -0.146
- electronic total energy (eV/cell) = -42.495

=====

9.
A relaxed BaZn5Ag7 crystal, computed with PBE-GGA.

Lattice parameters (Å, degrees): 5.343 9.548 9.618 90.00 90.00 90.00
Space group Imm2 (No. 44)
Inequivalent atoms, fractional coordinates:
Ba  0.000  0.000  0.000 x2
Zn  0.000  0.500  0.737 x2
Zn  0.250  0.247  0.254 x8
Ag  0.000  0.000  0.348 x2
Ag  0.000  0.000  0.647 x2
Ag  0.000  0.275  0.505 x4
Ag  0.000  0.352  0.003 x4
Ag  0.000  0.500  0.274 x2

- magnetization (Bohr magnetons per cell) = 0.0
- energy relative to the elements (eV per atom) = -0.096
- electronic total energy (eV/cell) = -58.996

=====

10.
A relaxed Ba4ZnAg crystal, computed with PBE-GGA.

Lattice parameters (Å, degrees): 4.188 4.188 14.963 90.00 90.00 90.00
Space group P4/mmm (No. 123)
Inequivalent atoms, fractional coordinates:
Ba  0.000  0.000  0.128 x2
Ba  0.500  0.500  0.369 x2
Zn  0.500  0.500  0.000 x1
Ag  0.000  0.000  0.500 x1

- ΔE to the lowest computed polymorph (eV/atom) = 0.000
- magnetization (Bohr magnetons per cell) = 0.0
- energy relative to the elements (eV per atom) = -0.148
- electronic total energy (eV/cell) = -12.704

=====

11.
A relaxed BaZnAg2 crystal, computed with PBE-GGA.

Lattice parameters (Å, degrees): 3.804 4.489 6.476 90.00 102.68 90.00
Space group P2/m (No. 10)
Inequivalent atoms, fractional coordinates:
Ba  0.000  0.000  0.000 x1
Zn  0.500  0.000  0.500 x1
Ag  0.327  0.500  0.677 x2

- magnetization (Bohr magnetons per cell) = 0.0
- energy relative to the elements (eV per atom) = -0.040
- electronic total energy (eV/cell) = -9.059

=====

12.
A relaxed Ba4ZnAg3 crystal, computed with PBE-GGA.

Lattice parameters (Å, degrees): 4.721 4.952 12.694 90.00 90.00 90.00
Space group Pmm2 (No. 25)
Inequivalent atoms, fractional coordinates:
Ba  0.000  0.000  0.000 x1
Ba  0.000  0.500  0.277 x1
Ba  0.500  0.000  0.499 x1
Ba  0.500  0.500  0.779 x1
Zn  0.000  0.000  0.698 x1
Ag  0.000  0.500  0.581 x1
Ag  0.500  0.000  0.205 x1
Ag  0.500  0.500  0.073 x1

- magnetization (Bohr magnetons per cell) = 0.0
- energy relative to the elements (eV per atom) = -0.245
- electronic total energy (eV/cell) = -19.479

=====

- What is the energy relative to the elements in the seventh record?
  -0.217 eV per atom

=====

- Look up the energy relative to the elements of the third one.
  -0.075 eV per atom

=====

- The lowest energy relative to the elements belongs to which entry?
  Ba4ZnAg3